Record 1
The following is a DFT calculation (PBE) of crystalline KRuRh at its relaxed geometry.

The structure in CIF format:
```
data_KRuRh
_chemical_formula_sum 'K2 Ru2 Rh2'
_cell_length_a 6.443
_cell_length_b 4.447
_cell_length_c 5.078
_cell_angle_alpha 90.00
_cell_angle_beta 90.00
_cell_angle_gamma 110.20
_symmetry_space_group_name_H-M 'P 1'
_symmetry_Int_Tables_number 1
_symmetry_space_group_name_Hall 'P 1'
loop_
_atom_site_label
_atom_site_type_symbol
_atom_site_fract_x
_atom_site_fract_y
_atom_site_fract_z
Ru1 Ru 0.596 0.633 0.238
Rh1 Rh 0.653 0.162 0.982
K1 K 0.047 0.358 0.482
Rh2 Rh 0.527 0.098 0.482
Ru2 Ru 0.584 0.627 0.738
K2 K 0.133 0.901 0.982
```

symmetry: Cmc2_1 (36)
total moment: 0.0000 μB/atom
final energy: -32.13 eV for the cell shown

Record 2
The following is a DFT calculation (PBE) of crystalline Nd5Ho4Zn at its relaxed geometry.

The structure in CIF format:
```
data_Nd5Ho4Zn
_chemical_formula_sum 'Nd5 Ho4 Zn1'
_cell_length_a 3.641
_cell_length_b 3.641
_cell_length_c 23.830
_cell_angle_alpha 90.00
_cell_angle_beta 90.00
_cell_angle_gamma 90.00
_symmetry_space_group_name_H-M 'P 1'
_symmetry_Int_Tables_number 1
_symmetry_space_group_name_Hall 'P 1'
loop_
_atom_site_label
_atom_site_type_symbol
_atom_site_fract_x
_atom_site_fract_y
_atom_site_fract_z
Nd1 Nd 0.500 0.500 0.922
Ho1 Ho 0.000 0.000 0.815
Nd2 Nd 0.500 0.500 0.500
Nd3 Nd 0.500 0.500 0.711
Nd4 Nd 0.500 0.500 0.289
Ho2 Ho 0.000 0.000 0.395
Ho3 Ho 0.000 0.000 0.185
Zn1 Zn 0.000 0.000 0.000
Ho4 Ho 0.000 0.000 0.605
Nd5 Nd 0.500 0.500 0.078
```

symmetry: P4/mmm (123)
total moment: 0.0000 μB/atom
final energy: -43.86 eV for the cell shown

Record 3
The following is a DFT calculation (PBE) of crystalline YbNi4Sn at its relaxed geometry.

The structure in CIF format:
```
data_YbNi4Sn
_chemical_formula_sum 'Yb1 Ni4 Sn1'
_cell_length_a 4.979
_cell_length_b 4.979
_cell_length_c 4.979
_cell_angle_alpha 60.00
_cell_angle_beta 60.00
_cell_angle_gamma 60.00
_symmetry_space_group_name_H-M 'P 1'
_symmetry_Int_Tables_number 1
_symmetry_space_group_name_Hall 'P 1'
loop_
_atom_site_label
_atom_site_type_symbol
_atom_site_fract_x
_atom_site_fract_y
_atom_site_fract_z
Ni1 Ni 0.626 0.626 0.626
Ni2 Ni 0.626 0.626 0.123
Ni3 Ni 0.123 0.626 0.626
Sn1 Sn 0.000 0.000 0.000
Yb1 Yb 0.250 0.250 0.250
Ni4 Ni 0.626 0.123 0.626
```

symmetry: F-43m (216)
total moment: 0.0309 μB/atom
final energy: -30.47 eV for the cell shown

Record 4
The following is a DFT calculation (PBE) of crystalline SrTeSe at its relaxed geometry.

The structure in CIF format:
```
data_SrTeSe
_chemical_formula_sum 'Sr2 Te2 Se2'
_cell_length_a 5.573
_cell_length_b 4.171
_cell_length_c 9.270
_cell_angle_alpha 103.00
_cell_angle_beta 107.49
_cell_angle_gamma 90.00
_symmetry_space_group_name_H-M 'P 1'
_symmetry_Int_Tables_number 1
_symmetry_space_group_name_Hall 'P 1'
loop_
_atom_site_label
_atom_site_type_symbol
_atom_site_fract_x
_atom_site_fract_y
_atom_site_fract_z
Se1 Se 0.171 0.671 0.342
Te1 Te 0.253 0.500 0.000
Sr1 Sr 0.346 0.846 0.693
Sr2 Sr 0.654 0.154 0.307
Te2 Te 0.747 0.500 0.000
Se2 Se 0.829 0.329 0.658
```

ΔE_f (raw): -276 kJ/mol of formula units
symmetry: Immm (71)
total moment: 0.0000 μB/atom
final energy: -22.33 eV for the cell shown

Record 5
The following is a DFT calculation (PBE) of crystalline SrPb3 at its relaxed geometry.

The structure in CIF format:
```
data_SrPb3
_chemical_formula_sum 'Sr1 Pb3'
_cell_length_a 5.825
_cell_length_b 3.637
_cell_length_c 6.267
_cell_angle_alpha 88.19
_cell_angle_beta 90.00
_cell_angle_gamma 90.00
_symmetry_space_group_name_H-M 'P 1'
_symmetry_Int_Tables_number 1
_symmetry_space_group_name_Hall 'P 1'
loop_
_atom_site_label
_atom_site_type_symbol
_atom_site_fract_x
_atom_site_fract_y
_atom_site_fract_z
Pb1 Pb 0.000 0.606 0.499
Pb2 Pb 0.000 0.894 0.001
Pb3 Pb 0.500 0.750 0.750
Sr1 Sr 0.500 0.250 0.250
```

symmetry: P2/m (10)
total moment: 0.0000 μB/atom
final energy: -13.73 eV for the cell shown

Record 6
The following is a DFT calculation (PBE) of crystalline Tb2Zn5Ag at its relaxed geometry.

The structure in CIF format:
```
data_Tb2Zn5Ag
_chemical_formula_sum 'Tb4 Zn10 Ag2'
_cell_length_a 4.299
_cell_length_b 8.418
_cell_length_c 8.956
_cell_angle_alpha 90.00
_cell_angle_beta 90.00
_cell_angle_gamma 104.79
_symmetry_space_group_name_H-M 'P 1'
_symmetry_Int_Tables_number 1
_symmetry_space_group_name_Hall 'P 1'
loop_
_atom_site_label
_atom_site_type_symbol
_atom_site_fract_x
_atom_site_fract_y
_atom_site_fract_z
Ag1 Ag 0.550 0.101 0.250
Zn1 Zn 0.349 0.697 0.522
Zn2 Zn 0.651 0.303 0.478
Tb1 Tb 0.803 0.605 0.750
Zn3 Zn 0.811 0.623 0.393
Zn4 Zn 0.393 0.785 0.250
Tb2 Tb 0.000 0.000 0.500
Tb3 Tb 0.000 0.000 0.000
Zn5 Zn 0.651 0.303 0.022
Zn6 Zn 0.607 0.215 0.750
Zn7 Zn 0.349 0.697 0.978
Zn8 Zn 0.189 0.377 0.607
Ag2 Ag 0.450 0.899 0.750
Zn9 Zn 0.811 0.623 0.107
Zn10 Zn 0.189 0.377 0.893
Tb4 Tb 0.197 0.395 0.250
```

symmetry: Cmcm (63)
total moment: 0.0000 μB/atom
final energy: -41.88 eV for the cell shown

Record 7
The following is a DFT calculation (PBE) of crystalline YMgAsSe2 at its relaxed geometry.

The structure in CIF format:
```
data_YMgAsSe2
_chemical_formula_sum 'Y1 Mg1 As1 Se2'
_cell_length_a 5.412
_cell_length_b 5.412
_cell_length_c 5.450
_cell_angle_alpha 90.00
_cell_angle_beta 90.00
_cell_angle_gamma 90.00
_symmetry_space_group_name_H-M 'P 1'
_symmetry_Int_Tables_number 1
_symmetry_space_group_name_Hall 'P 1'
loop_
_atom_site_label
_atom_site_type_symbol
_atom_site_fract_x
_atom_site_fract_y
_atom_site_fract_z
As1 As 0.000 0.000 0.500
Y1 Y 0.000 0.000 0.000
Mg1 Mg 0.500 0.500 0.500
Se1 Se 0.500 0.000 0.000
Se2 Se 0.000 0.500 0.000
```

ΔE_f (raw): -114 kJ/mol of formula units
symmetry: P4/mmm (123)
total moment: 0.0000 μB/atom
final energy: -20.86 eV for the cell shown

Record 8
The following is a DFT calculation (PBE) of crystalline Al2SbHIr at its relaxed geometry.

The structure in CIF format:
```
data_Al2SbHIr
_chemical_formula_sum 'Al2 Sb1 H1 Ir1'
_cell_length_a 4.474
_cell_length_b 4.474
_cell_length_c 3.718
_cell_angle_alpha 90.00
_cell_angle_beta 90.00
_cell_angle_gamma 90.00
_symmetry_space_group_name_H-M 'P 1'
_symmetry_Int_Tables_number 1
_symmetry_space_group_name_Hall 'P 1'
loop_
_atom_site_label
_atom_site_type_symbol
_atom_site_fract_x
_atom_site_fract_y
_atom_site_fract_z
H1 H 0.000 0.000 0.000
Ir1 Ir 0.000 0.000 0.500
Al1 Al 0.500 0.000 0.000
Al2 Al 0.000 0.500 0.000
Sb1 Sb 0.500 0.500 0.500
```

symmetry: P4/mmm (123)
total moment: 0.0000 μB/atom
final energy: -22.99 eV for the cell shown

Record 9
The following is a DFT calculation (PBE) of crystalline RbMnCu3Se4 at its relaxed geometry.

The structure in CIF format:
```
data_RbMnCu3Se4
_chemical_formula_sum 'Rb1 Mn1 Cu3 Se4'
_cell_length_a 6.148
_cell_length_b 6.148
_cell_length_c 6.148
_cell_angle_alpha 90.00
_cell_angle_beta 90.00
_cell_angle_gamma 90.00
_symmetry_space_group_name_H-M 'P 1'
_symmetry_Int_Tables_number 1
_symmetry_space_group_name_Hall 'P 1'
loop_
_atom_site_label
_atom_site_type_symbol
_atom_site_fract_x
_atom_site_fract_y
_atom_site_fract_z
Se1 Se 0.217 0.783 0.783
Se2 Se 0.783 0.783 0.217
Se3 Se 0.217 0.217 0.217
Rb1 Rb 0.500 0.500 0.500
Mn1 Mn 0.000 0.000 0.000
Cu1 Cu 0.500 0.000 0.000
Se4 Se 0.783 0.217 0.783
Cu2 Cu 0.000 0.500 0.000
Cu3 Cu 0.000 0.000 0.500
```

ΔE_f (raw): -279 kJ/mol of formula units
symmetry: P-43m (215)
total moment: 0.3333 μB/atom
final energy: -39.26 eV for the cell shown

Record 10
The following is a DFT calculation (PBE) of crystalline Zr2Be2Au at its relaxed geometry.

The structure in CIF format:
```
data_Zr2Be2Au
_chemical_formula_sum 'Zr2 Be2 Au1'
_cell_length_a 3.026
_cell_length_b 3.026
_cell_length_c 9.268
_cell_angle_alpha 80.60
_cell_angle_beta 80.60
_cell_angle_gamma 90.00
_symmetry_space_group_name_H-M 'P 1'
_symmetry_Int_Tables_number 1
_symmetry_space_group_name_Hall 'P 1'
loop_
_atom_site_label
_atom_site_type_symbol
_atom_site_fract_x
_atom_site_fract_y
_atom_site_fract_z
Be1 Be 0.250 0.750 0.500
Be2 Be 0.750 0.250 0.500
Zr1 Zr 0.383 0.383 0.235
Zr2 Zr 0.617 0.617 0.765
Au1 Au 0.000 0.000 0.000
```

symmetry: I4/mmm (139)
total moment: 0.0000 μB/atom
final energy: -27.59 eV for the cell shown